A plane-wave DFT calculation with PBE was carried out for a geometry-optimized Gd6Ni2Ge structure.

The structure belongs to space group P-62m (No. 189); the cell edges are 7.5663, 7.5663 and 4.4999 Å and the angles 90.00°, 90.00° and 120.00°. Symmetry generates all atoms from Gd at (0.0000, 0.2769, 0.0000), Gd at (0.0000, 0.6010, 0.5000), Ni at (0.3333, 0.6667, 0.0000) and Ge at (0.0000, 0.0000, 0.5000).

Its crystal system is hexagonal. Its size of the total moment is 0.0 μB/cell. The calculation puts the energy at -5.153 eV per atom.



A plane-wave DFT calculation with PBE was carried out for a geometry-optimized CsAuNO structure.

The structure belongs to space group P4/nmm (No. 129, origin choice 2); the cell edges are 4.8735, 4.8735 and 6.9044 Å and the angles 90.00°, 90.00° and 90.00°. Symmetry generates all atoms from Cs at (0.2500, 0.7500, 0.0000), Au at (0.2500, 0.2500, 0.4735), N at (0.2500, 0.2500, 0.1928) and O at (0.2500, 0.7500, 0.5000).

The value obtained for the excess energy over the best structure of this formula in the dataset is 106.0 kJ per mole of atoms. Its crystal system is tetragonal. The calculation puts the energy at -3.315 eV per atom.



A plane-wave DFT calculation with PBE was carried out for a geometry-optimized BaHgTeO structure.

The structure belongs to space group P4/nmm (No. 129, origin choice 2); the cell edges are 4.6145, 4.6145 and 9.9706 Å and the angles 90.00°, 90.00° and 90.00°. Symmetry generates all atoms from Ba at (0.2500, 0.2500, 0.2455), Hg at (0.2500, 0.2500, 0.9083), Te at (0.2500, 0.2500, 0.6306) and O at (0.2500, 0.7500, 0.0000).

The value obtained for the excess energy over the best structure of this formula in the dataset is 32.4 kJ per mole of atoms. Its crystal system is tetragonal. The calculation puts the energy at -3.568 eV per atom.



A plane-wave DFT calculation with PBE was carried out for a geometry-optimized BiPPtO structure.

The structure belongs to space group Pmc2_1 (No. 26); the cell edges are 3.7261, 6.8712 and 6.5073 Å and the angles 90.00°, 90.00° and 90.00°. Symmetry generates all atoms from Bi at (0.0000, 0.1942, 0.0000), P at (0.0000, 0.2032, 0.4263), Pt at (0.5000, 0.2793, 0.6044) and O at (0.5000, 0.3671, 0.9451).

The value obtained for the excess energy over the best structure of this formula in the dataset is 38.1 kJ per mole of atoms. Its crystal system is orthorhombic. Its size of the total moment is 0.0 μB/cell. The calculation puts the energy at -5.269 eV per atom.



A plane-wave DFT calculation with PBE was carried out for a geometry-optimized Ni9Te2 structure.

The structure belongs to space group P-3m1 (No. 164); the cell edges are 2.8390, 2.8390 and 30.6278 Å and the angles 90.00°, 90.00° and 120.00°. Symmetry generates all atoms from Ni at (0.0000, 0.0000, 0.0000), Ni at (0.0000, 0.0000, 0.1787), Ni at (0.3333, 0.6667, 0.1191), Ni at (0.3333, 0.6667, 0.7601), Ni at (0.3333, 0.6667, 0.9404) and Te at (0.3333, 0.6667, 0.3059).

The value obtained for the excess energy over the best structure of this formula in the dataset is 0.0 kJ per mole of atoms. Its crystal system is trigonal. Its size of the total moment is 4.5 μB/cell. The calculation puts the energy at -4.676 eV per atom.



A plane-wave DFT calculation with PBE was carried out for a geometry-optimized Cu2Ag3 structure.

The structure belongs to space group C2/m (No. 12); the cell edges are 23.0022, 2.8603 and 4.7699 Å and the angles 90.00°, 97.62° and 90.00°. Symmetry generates all atoms from Cu at (0.0544, 0.0000, 0.3481), Cu at (0.1436, 0.5000, 0.5490), Ag at (0.0447, 0.5000, 0.8241), Ag at (0.1481, 0.0000, 0.0614) and Ag at (0.2436, 0.0000, 0.7418).

The formation enthalpy at 0 K is 0.089 eV per atom. The value obtained for the excess energy over the best structure of this formula in the dataset is 5.4 kJ per mole of atoms. Its crystal system is monoclinic. The calculation puts the energy at -3.093 eV per atom.



A plane-wave DFT calculation with PBE was carried out for a geometry-optimized TbHoZn2Ga2 structure.

The structure belongs to space group P-3m1 (No. 164); the cell edges are 4.3947, 4.3947 and 7.2138 Å and the angles 90.00°, 90.00° and 120.00°. Symmetry generates all atoms from Tb at (0.0000, 0.0000, 0.0000), Ho at (0.0000, 0.0000, 0.5000), Zn at (0.3333, 0.6667, 0.2526) and Ga at (0.3333, 0.6667, 0.7483).

Its crystal system is trigonal. Its size of the total moment is 0.0 μB/cell. The calculation puts the energy at -3.529 eV per atom.



A plane-wave DFT calculation with PBE was carried out for a geometry-optimized ZrSc3Pb2C2 structure.

The structure belongs to space group P3m1 (No. 156); the cell edges are 3.4049, 3.4049 and 15.0729 Å and the angles 90.00°, 90.00° and 120.00°. Symmetry generates all atoms from Zr at (0.0000, 0.0000, 0.0000), Sc at (0.0000, 0.0000, 0.6600), Sc at (0.6667, 0.3333, 0.1615), Sc at (0.6667, 0.3333, 0.5014), Pb at (0.0000, 0.0000, 0.3309), Pb at (0.6667, 0.3333, 0.8312), C at (0.3333, 0.6667, 0.0800) and C at (0.3333, 0.6667, 0.5815).

Its crystal system is trigonal. Its size of the total moment is 0.0 μB/cell. The calculation puts the energy at -7.306 eV per atom.



A plane-wave DFT calculation with PBE was carried out for a geometry-optimized HfBMo structure.

The structure belongs to space group F-43m (No. 216); the cell edges are 5.8874, 5.8874 and 5.8874 Å and the angles 90.00°, 90.00° and 90.00°. Symmetry generates all atoms from Hf at (0.0000, 0.0000, 0.0000), B at (0.0000, 0.0000, 0.5000) and Mo at (0.2500, 0.2500, 0.7500).

The value obtained for the excess energy over the best structure of this formula in the dataset is 167.0 kJ per mole of atoms. Its crystal system is cubic. Its size of the total moment is 0.1 μB/cell. The calculation puts the energy at -7.925 eV per atom.



A plane-wave DFT calculation with PBE was carried out for a geometry-optimized PmFeSi structure.

The structure belongs to space group P4/nmm (No. 129, origin choice 2); the cell edges are 4.0439, 4.0439 and 6.8586 Å and the angles 90.00°, 90.00° and 90.00°. Symmetry generates all atoms from Pm at (0.2500, 0.2500, 0.1851), Fe at (0.2500, 0.7500, 0.5000) and Si at (0.2500, 0.2500, 0.6662).

The value obtained for the excess energy over the best structure of this formula in the dataset is 0.0 kJ per mole of atoms. Its crystal system is tetragonal. Its size of the total moment is 0.0 μB/cell. The calculation puts the energy at -6.752 eV per atom.



A plane-wave DFT calculation with PBE was carried out for a geometry-optimized BeAgPd2 structure.

The structure belongs to space group F-43m (No. 216); the cell edges are 6.1232, 6.1232 and 6.1232 Å and the angles 90.00°, 90.00° and 90.00°. Symmetry generates all atoms from Be at (0.0000, 0.0000, 0.0000), Ag at (0.2500, 0.2500, 0.2500), Pd at (0.0000, 0.0000, 0.5000) and Pd at (0.2500, 0.2500, 0.7500).

Its crystal system is cubic. The calculation puts the energy at -4.259 eV per atom.



A plane-wave DFT calculation with PBE was carried out for a geometry-optimized MgTePtO structure.

The structure belongs to space group P4/nmm (No. 129, origin choice 2); the cell edges are 4.1154, 4.1154 and 8.3099 Å and the angles 90.00°, 90.00° and 90.00°. Symmetry generates all atoms from Mg at (0.2500, 0.7500, 0.0000), Te at (0.2500, 0.2500, 0.2985), Pt at (0.2500, 0.2500, 0.7869) and O at (0.2500, 0.2500, 0.5249).

The value obtained for the excess energy over the best structure of this formula in the dataset is 80.0 kJ per mole of atoms. Its crystal system is tetragonal. Its size of the total moment is 0.0 μB/cell. The calculation puts the energy at -4.326 eV per atom.